Record 1
{
  "formula": "TaTiGa",
  "functional": "GGA-PBE",
  "state": "optimized geometry",
  "cell": [[4.609, 0.000, 0.000], [-2.304, 3.991, 0.000], [0.000, 0.000, 2.768]],
  "species": ["Ta", "Ti", "Ga"],
  "frac_coords": [[0.000, 0.000, 0.000], [0.333, 0.667, 0.376], [0.667, 0.333, 0.686]],
  "formation_energy_ev_per_atom": -0.031,
  "e_tot_ev_per_atom": -7.622,
  "polymorph_energy_mev_per_atom": 325.3,
  "crystal_system": "trigonal"
}


Record 2
{
  "formula": "TaTi4Ga",
  "functional": "GGA-PBE",
  "state": "optimized geometry",
  "cell": [[4.085, -5.457, 0.000], [4.085, 5.457, 0.000], [-3.037, 0.000, 4.572]],
  "species": ["Ta", "Ta", "Ti", "Ti", "Ti", "Ti", "Ti", "Ti", "Ti", "Ti", "Ga", "Ga"],
  "frac_coords": [[0.177, 0.823, 0.750], [0.823, 0.177, 0.250], [0.149, 0.527, 0.260], [0.268, 0.391, 0.745], [0.391, 0.268, 0.245], [0.473, 0.851, 0.240], [0.527, 0.149, 0.760], [0.609, 0.732, 0.755], [0.732, 0.609, 0.255], [0.851, 0.473, 0.740], [0.081, 0.919, 0.250], [0.919, 0.081, 0.750]],
  "formation_energy_ev_per_atom": -0.067,
  "e_tot_ev_per_atom": -7.811,
  "crystal_system": "monoclinic"
}


Record 3
{
  "formula": "TaTiGa",
  "functional": "GGA-PBE",
  "state": "optimized geometry",
  "cell": [[4.576, 0.000, 0.000], [-2.288, 3.963, 0.000], [0.000, 0.000, 5.437]],
  "species": ["Ta", "Ta", "Ti", "Ti", "Ga", "Ga"],
  "frac_coords": [[0.000, 0.000, 0.000], [0.000, 0.000, 0.500], [0.333, 0.667, 0.250], [0.667, 0.333, 0.750], [0.333, 0.667, 0.750], [0.667, 0.333, 0.250]],
  "formation_energy_ev_per_atom": -0.356,
  "e_tot_ev_per_atom": -7.947,
  "polymorph_energy_mev_per_atom": 0.0,
  "crystal_system": "hexagonal"
}


Record 4
{
  "formula": "TaTiGa",
  "functional": "GGA-PBE",
  "state": "optimized geometry",
  "cell": [[7.159, 0.000, 0.000], [-3.580, 6.200, 0.000], [0.000, 0.000, 3.483]],
  "species": ["Ta", "Ta", "Ta", "Ti", "Ti", "Ti", "Ga", "Ga", "Ga"],
  "frac_coords": [[0.000, 0.265, 0.000], [0.265, 0.000, 0.000], [0.735, 0.735, 0.000], [0.000, 0.605, 0.500], [0.395, 0.395, 0.500], [0.605, 0.000, 0.500], [0.000, 0.000, 0.500], [0.333, 0.667, 0.000], [0.667, 0.333, 0.000]],
  "formation_energy_ev_per_atom": -0.211,
  "e_tot_ev_per_atom": -7.803,
  "polymorph_energy_mev_per_atom": 144.5,
  "crystal_system": "hexagonal"
}


Record 5
{
  "formula": "TaTiGa2",
  "functional": "GGA-PBE",
  "state": "optimized geometry",
  "cell": [[-3.550, 3.550, 2.770], [3.550, -3.550, 2.770], [3.550, 3.550, -2.770]],
  "species": ["Ta", "Ta", "Ti", "Ti", "Ga", "Ga", "Ga", "Ga"],
  "frac_coords": [[0.000, 0.000, 0.000], [0.750, 0.250, 0.500], [0.250, 0.750, 0.500], [0.500, 0.500, 0.000], [0.130, 0.125, 0.505], [0.375, 0.870, 0.995], [0.620, 0.625, 0.495], [0.875, 0.380, 0.005]],
  "formation_energy_ev_per_atom": 0.028,
  "e_tot_ev_per_atom": -6.422,
  "polymorph_energy_mev_per_atom": 335.8,
  "crystal_system": "tetragonal"
}


Record 6
{
  "formula": "TaTi4Ga3",
  "functional": "GGA-PBE",
  "state": "optimized geometry",
  "cell": [[4.328, 0.000, 0.000], [0.000, 4.328, 0.000], [0.000, 0.000, 6.903]],
  "species": ["Ta", "Ti", "Ti", "Ti", "Ti", "Ga", "Ga", "Ga"],
  "frac_coords": [[0.000, 0.000, 0.000], [0.000, 0.500, 0.250], [0.000, 0.500, 0.750], [0.500, 0.000, 0.250], [0.500, 0.000, 0.750], [0.000, 0.000, 0.500], [0.500, 0.500, 0.000], [0.500, 0.500, 0.500]],
  "formation_energy_ev_per_atom": -0.363,
  "e_tot_ev_per_atom": -6.927,
  "crystal_system": "tetragonal"
}


Record 7
{
  "formula": "Ta3TiGa",
  "functional": "GGA-PBE",
  "state": "optimized geometry",
  "cell": [[4.726, 0.000, 0.000], [0.000, 4.726, 0.000], [0.000, 0.000, 4.726]],
  "species": ["Ta", "Ta", "Ta", "Ti", "Ga"],
  "frac_coords": [[0.000, 0.000, 0.500], [0.000, 0.500, 0.000], [0.500, 0.000, 0.000], [0.500, 0.500, 0.500], [0.000, 0.000, 0.000]],
  "formation_energy_ev_per_atom": 1.144,
  "e_tot_ev_per_atom": -8.152,
  "polymorph_energy_mev_per_atom": 0.0,
  "crystal_system": "cubic"
}


Record 8
{
  "formula": "TaTi3Ga",
  "functional": "GGA-PBE",
  "state": "optimized geometry",
  "cell": [[-2.388, 2.388, 9.219], [2.388, -2.388, 9.219], [2.388, 2.388, -9.219]],
  "species": ["Ta", "Ta", "Ti", "Ti", "Ti", "Ti", "Ti", "Ti", "Ga", "Ga"],
  "frac_coords": [[0.183, 0.183, 0.000], [0.817, 0.817, 0.000], [0.374, 0.125, 0.751], [0.374, 0.623, 0.249], [0.377, 0.626, 0.751], [0.569, 0.069, 0.500], [0.875, 0.626, 0.249], [0.931, 0.431, 0.500], [0.250, 0.750, 0.500], [0.500, 0.500, 0.000]],
  "formation_energy_ev_per_atom": 0.687,
  "e_tot_ev_per_atom": -7.026,
  "polymorph_energy_mev_per_atom": 0.0,
  "crystal_system": "tetragonal"
}


Record 9
{
  "formula": "TaTiGa4",
  "functional": "GGA-PBE",
  "state": "optimized geometry",
  "cell": [[0.000, 3.611, 3.611], [3.611, 0.000, 3.611], [3.611, 3.611, 0.000]],
  "species": ["Ta", "Ti", "Ga", "Ga", "Ga", "Ga"],
  "frac_coords": [[0.000, 0.000, 0.000], [0.750, 0.750, 0.750], [0.375, 0.375, 0.375], [0.375, 0.375, 0.875], [0.375, 0.875, 0.375], [0.875, 0.375, 0.375]],
  "formation_energy_ev_per_atom": -0.128,
  "e_tot_ev_per_atom": -5.438,
  "polymorph_energy_mev_per_atom": 3.5,
  "crystal_system": "cubic"
}


Record 10
{
  "formula": "Ta2Ti3Ga4",
  "functional": "GGA-PBE",
  "state": "optimized geometry",
  "cell": [[2.778, -7.131, 0.000], [2.778, 7.131, 0.000], [0.000, 0.000, 7.660]],
  "species": ["Ta", "Ta", "Ta", "Ta", "Ti", "Ti", "Ti", "Ti", "Ti", "Ti", "Ga", "Ga", "Ga", "Ga", "Ga", "Ga", "Ga", "Ga"],
  "frac_coords": [[0.123, 0.877, 0.912], [0.377, 0.623, 0.412], [0.623, 0.377, 0.588], [0.877, 0.123, 0.088], [0.000, 0.000, 0.500], [0.044, 0.456, 0.750], [0.456, 0.044, 0.250], [0.500, 0.500, 0.000], [0.544, 0.956, 0.750], [0.956, 0.544, 0.250], [0.181, 0.819, 0.556], [0.224, 0.276, 0.750], [0.276, 0.224, 0.250], [0.319, 0.681, 0.056], [0.681, 0.319, 0.944], [0.724, 0.776, 0.750], [0.776, 0.724, 0.250], [0.819, 0.181, 0.444]],
  "formation_energy_ev_per_atom": -0.071,
  "e_tot_ev_per_atom": -6.682,
  "crystal_system": "orthorhombic"
}


Record 11
{
  "formula": "TaTi5Ga6",
  "functional": "GGA-PBE",
  "state": "optimized geometry",
  "cell": [[3.672, -7.217, 0.000], [3.672, 7.217, 0.000], [-3.136, 0.000, 3.642]],
  "species": ["Ta", "Ti", "Ti", "Ti", "Ti", "Ti", "Ga", "Ga", "Ga", "Ga", "Ga", "Ga"],
  "frac_coords": [[0.000, 0.000, 0.000], [0.164, 0.836, 0.500], [0.332, 0.668, 0.000], [0.500, 0.500, 0.500], [0.668, 0.332, 0.000], [0.836, 0.164, 0.500], [0.084, 0.420, 0.252], [0.254, 0.254, 0.754], [0.420, 0.084, 0.252], [0.580, 0.916, 0.748], [0.746, 0.746, 0.246], [0.916, 0.580, 0.748]],
  "formation_energy_ev_per_atom": -0.287,
  "e_tot_ev_per_atom": -6.078,
  "polymorph_energy_mev_per_atom": 0.0,
  "crystal_system": "monoclinic"
}


Record 12
{
  "formula": "Ta2Ti7Ga",
  "functional": "GGA-PBE",
  "state": "optimized geometry",
  "cell": [[3.467, -6.697, 0.000], [3.467, 6.697, 0.000], [0.000, 0.000, 4.611]],
  "species": ["Ta", "Ta", "Ti", "Ti", "Ti", "Ti", "Ti", "Ti", "Ti", "Ga"],
  "frac_coords": [[0.212, 0.788, 0.000], [0.788, 0.212, 0.000], [0.000, 0.000, 0.000], [0.226, 0.430, 0.000], [0.277, 0.723, 0.500], [0.430, 0.226, 0.000], [0.570, 0.774, 0.000], [0.723, 0.277, 0.500], [0.774, 0.570, 0.000], [0.500, 0.500, 0.500]],
  "formation_energy_ev_per_atom": 0.791,
  "e_tot_ev_per_atom": -7.409,
  "crystal_system": "orthorhombic"
}


Record 13
{
  "formula": "Ta3TiGa2",
  "functional": "GGA-PBE",
  "state": "optimized geometry",
  "cell": [[1.893, -6.592, 0.000], [1.893, 6.592, 0.000], [0.000, 0.000, 4.058]],
  "species": ["Ta", "Ta", "Ta", "Ti", "Ga", "Ga"],
  "frac_coords": [[0.000, 0.000, 0.000], [0.331, 0.669, 0.000], [0.669, 0.331, 0.000], [0.500, 0.500, 0.500], [0.159, 0.841, 0.500], [0.841, 0.159, 0.500]],
  "formation_energy_ev_per_atom": -0.181,
  "e_tot_ev_per_atom": -8.432,
  "crystal_system": "orthorhombic"
}


Record 14
{
  "formula": "TaTi4Ga5",
  "functional": "GGA-PBE",
  "state": "optimized geometry",
  "cell": [[-4.131, 4.131, 2.613], [4.131, -4.131, 2.613], [4.131, 4.131, -2.613]],
  "species": ["Ta", "Ti", "Ti", "Ti", "Ti", "Ga", "Ga", "Ga", "Ga", "Ga"],
  "frac_coords": [[0.000, 0.000, 0.000], [0.200, 0.599, 0.803], [0.397, 0.200, 0.601], [0.599, 0.796, 0.399], [0.796, 0.397, 0.197], [0.097, 0.301, 0.402], [0.301, 0.899, 0.204], [0.500, 0.500, 0.000], [0.695, 0.097, 0.796], [0.899, 0.695, 0.598]],
  "formation_energy_ev_per_atom": -0.038,
  "e_tot_ev_per_atom": -5.895,
  "crystal_system": "tetragonal"
}


Record 15
{
  "formula": "TaTi4Ga2",
  "functional": "GGA-PBE",
  "state": "optimized geometry",
  "cell": [[-2.398, 2.398, 6.490], [2.398, -2.398, 6.490], [2.398, 2.398, -6.490]],
  "species": ["Ta", "Ti", "Ti", "Ti", "Ti", "Ga", "Ga"],
  "frac_coords": [[0.000, 0.000, 0.000], [0.000, 0.500, 0.500], [0.188, 0.188, 0.000], [0.500, 0.000, 0.500], [0.812, 0.812, 0.000], [0.389, 0.389, 0.000], [0.611, 0.611, 0.000]],
  "formation_energy_ev_per_atom": 0.725,
  "e_tot_ev_per_atom": -6.345,
  "polymorph_energy_mev_per_atom": 403.1,
  "crystal_system": "tetragonal"
}


Record 16
{
  "formula": "TaTiGa",
  "functional": "GGA-PBE",
  "state": "optimized geometry",
  "cell": [[4.132, 0.000, 0.000], [0.000, 3.809, 0.000], [-2.065, 0.000, 6.396]],
  "species": ["Ta", "Ta", "Ti", "Ti", "Ga", "Ga"],
  "frac_coords": [[0.084, 0.250, 0.170], [0.916, 0.750, 0.830], [0.412, 0.250, 0.823], [0.588, 0.750, 0.177], [0.249, 0.750, 0.499], [0.751, 0.250, 0.501]],
  "formation_energy_ev_per_atom": -0.203,
  "e_tot_ev_per_atom": -7.795,
  "polymorph_energy_mev_per_atom": 152.6,
  "crystal_system": "monoclinic"
}


Record 17
{
  "formula": "Ta2Ti5Ga4",
  "functional": "GGA-PBE",
  "state": "optimized geometry",
  "cell": [[-1.489, 3.674, 9.139], [1.489, -3.674, 9.139], [1.489, 3.674, -9.139]],
  "species": ["Ta", "Ta", "Ti", "Ti", "Ti", "Ti", "Ti", "Ga", "Ga", "Ga", "Ga"],
  "frac_coords": [[0.086, 0.086, 0.000], [0.914, 0.914, 0.000], [0.146, 0.351, 0.795], [0.443, 0.649, 0.795], [0.500, 0.000, 0.500], [0.557, 0.351, 0.205], [0.854, 0.649, 0.205], [0.220, 0.500, 0.720], [0.230, 0.230, 0.000], [0.770, 0.770, 0.000], [0.780, 0.500, 0.280]],
  "formation_energy_ev_per_atom": -0.002,
  "e_tot_ev_per_atom": -6.847,
  "crystal_system": "orthorhombic"
}


Record 18
{
  "formula": "TaTiGa",
  "functional": "GGA-PBE",
  "state": "optimized geometry",
  "cell": [[-1.414, 1.414, 6.334], [1.414, -1.414, 6.334], [1.414, 1.414, -6.334]],
  "species": ["Ta", "Ti", "Ga"],
  "frac_coords": [[0.000, 0.000, 0.000], [0.673, 0.673, 0.000], [0.334, 0.334, 0.000]],
  "formation_energy_ev_per_atom": -0.198,
  "e_tot_ev_per_atom": -7.789,
  "polymorph_energy_mev_per_atom": 158.1,
  "crystal_system": "tetragonal"
}


Record 19
{
  "formula": "Ta2TiGa2",
  "functional": "GGA-PBE",
  "state": "optimized geometry",
  "cell": [[6.869, 0.000, 0.000], [0.000, 6.869, 0.000], [0.000, 0.000, 3.536]],
  "species": ["Ta", "Ta", "Ta", "Ta", "Ti", "Ti", "Ga", "Ga", "Ga", "Ga"],
  "frac_coords": [[0.173, 0.327, 0.000], [0.327, 0.827, 0.000], [0.673, 0.173, 0.000], [0.827, 0.673, 0.000], [0.000, 0.000, 0.500], [0.500, 0.500, 0.500], [0.128, 0.628, 0.500], [0.372, 0.128, 0.500], [0.628, 0.872, 0.500], [0.872, 0.372, 0.500]],
  "formation_energy_ev_per_atom": -0.280,
  "e_tot_ev_per_atom": -7.811,
  "polymorph_energy_mev_per_atom": 0.0,
  "crystal_system": "tetragonal"
}


Record 20
{
  "formula": "TaTiGa4",
  "functional": "GGA-PBE",
  "state": "optimized geometry",
  "cell": [[-2.348, 2.813, 3.676], [2.348, -2.813, 3.676], [2.348, 2.813, -3.676]],
  "species": ["Ta", "Ti", "Ga", "Ga", "Ga", "Ga"],
  "frac_coords": [[0.000, 0.000, 0.000], [0.500, 0.000, 0.500], [0.078, 0.331, 0.746], [0.415, 0.669, 0.746], [0.585, 0.331, 0.254], [0.922, 0.669, 0.254]],
  "formation_energy_ev_per_atom": -0.132,
  "e_tot_ev_per_atom": -5.441,
  "polymorph_energy_mev_per_atom": 0.0,
  "crystal_system": "orthorhombic"
}